1.
Below is LaW3O after structural relaxation, with properties calculated at the PBE with a Hubbard U level.

Computed properties:
Energy above the most stable polymorph in this dataset   2557 meV per atom

Cell lengths 5.5914, 5.5914, 5.5914 Å; angles 90.00, 90.00, 90.00 degrees
Space group Pm-3m (No. 221)
Inequivalent atoms, fractional coordinates:
La (0.0000, 0.0000, 0.0000)
W (0.0000, 0.0000, 0.5000)
O (0.5000, 0.5000, 0.5000)


2.
Below is LaW2O after structural relaxation, with properties calculated at the PBE with a Hubbard U level.

Computed properties:
Total DFT energy (no corrections)   -5.599 eV per atom

Cell lengths 5.7440, 5.7440, 11.7398 Å; angles 90.00, 90.00, 90.00 degrees
Space group I4_1/amd (No. 141, origin choice 2)
Inequivalent atoms, fractional coordinates:
La (0.0000, 0.2500, 0.3750)
W (0.0000, 0.0000, 0.0000)
O (0.0000, 0.2500, 0.8750)


3.
Below is La2W3O12 after structural relaxation, with properties calculated at the PBE with a Hubbard U level.

Computed properties:
Total DFT energy (no corrections)   -7.852 eV per atom

Cell lengths 8.0558, 11.9644, 11.8388 Å; angles 90.00, 109.84, 90.00 degrees
Space group C2/c (No. 15)
Inequivalent atoms, fractional coordinates:
La (0.1824, 0.1264, 0.0959)
W (0.0000, 0.1165, 0.7500)
W (0.1524, 0.3525, 0.5448)
O (0.0114, 0.0400, 0.8879)
O (0.0724, 0.3026, 0.9620)
O (0.1148, 0.2120, 0.4301)
O (0.1359, 0.4625, 0.4400)
O (0.1914, 0.2043, 0.7820)
O (0.2257, 0.4198, 0.6923)


4.
Below is LaY2WO8 after structural relaxation, with properties calculated at the PBE with a Hubbard U level.

Computed properties:
Total DFT energy (no corrections)   -8.233 eV per atom

Cell lengths 7.0994, 7.1891, 7.0786 Å; angles 90.00, 90.00, 90.00 degrees
Space group Cmmm (No. 65)
Inequivalent atoms, fractional coordinates:
La (0.0000, 0.0000, 0.0000)
Y (0.0000, 0.5000, 0.2611)
W (0.0000, 0.0000, 0.5000)
O (0.0000, 0.1846, 0.2972)
O (0.1807, 0.5000, 0.0000)
O (0.2226, 0.5000, 0.5000)


The magnetization results, record by record, are as follows: 8.86; 11.39; 0.00; 1.73 μB per cell.